Compound: SrNi2Os
Source: Alexandria via LeMat-Bulk
Functional: PBE-GGA
Structure: relaxed

a b c (Å): 4.769 4.769 2.753
angles (deg): 90.00 90.00 90.00
Fractional positions:
Sr1 0.000 0.500 0.500
Os1 0.500 0.000 0.500
Ni1 0.500 0.500 0.000
Ni2 0.000 0.000 0.000

Results
D(E_F) = 5.06 states/eV/f.u.
spin magnetization = 0.270 μB per cell
symmetry = No. 123
energy above the most stable polymorph in this dataset = 475.6 meV/atom
total energy = -22.188 eV per cell
calculated formation energy = 0.57 eV/atom